Entry w
# RbPSe2N

RbPSe2N after structural relaxation (PBE-GGA, Alexandria via LeMat-Bulk).

Values from the calculation:
Total magnetization (μB/cell): 0.0
N(E_F) (states/eV per cell): 2.061

Cell lengths 5.8526, 5.8526, 3.1981 Å; angles 90.00, 90.00, 90.00 degrees
With the nearest neighbours (Å) after each atom.
Space group P4/mmm (No. 123)
Symmetry-distinct sites (fractional):
Rb: 0.0000 0.0000 0.0000  2 Rb 3.20, 8 Se 3.33
P: 0.5000 0.5000 0.5000  2 N 1.60
Se: 0.0000 0.5000 0.5000  2 P 2.93, 2 Se 3.20
N: 0.5000 0.5000 0.0000  2 P 1.60


Entry x
# RbPSe2N

RbPSe2N after structural relaxation (PBE-GGA, Alexandria via LeMat-Bulk).

Values from the calculation:
Total magnetization (μB/cell): 2.9
N(E_F) (states/eV per cell): 8.238

Cell lengths 5.9705, 5.9705, 5.0185 Å; angles 90.00, 90.00, 90.00 degrees
With the nearest neighbours (Å) after each atom.
Space group P4/mmm (No. 123)
Symmetry-distinct sites (fractional):
Rb: 0.0000 0.0000 0.0000  2 N 2.51
P: 0.5000 0.5000 0.5000  8 Se 3.90, 4 N 4.22
Se: 0.0000 0.5000 0.0000  2 Rb 2.99
N: 0.0000 0.0000 0.5000  2 Rb 2.51


Each structure's energy above the most stable one, in meV per atom: entry w 0; entry x 1960.


Entry w
# RbTePN2

RbTePN2 after structural relaxation (PBE-GGA, Alexandria via LeMat-Bulk).

Values from the calculation:
Total magnetization (μB/cell): 6.7
N(E_F) (states/eV per cell): 4.051

Cell lengths 5.0051, 5.0051, 7.6197 Å; angles 90.00, 90.00, 90.00 degrees
With the nearest neighbours (Å) after each atom.
Space group P4/mmm (No. 123)
Symmetry-distinct sites (fractional):
Rb: 0.0000 0.0000 0.0000  4 N 2.50
Te: 0.0000 0.0000 0.5000  4 P 3.54, 2 Rb 3.81
P: 0.5000 0.5000 0.5000  4 Te 3.54
N: 0.0000 0.5000 0.0000  2 Rb 2.50


Entry x
# RbTePN2

RbTePN2 after structural relaxation (PBE-GGA, Alexandria via LeMat-Bulk).

Values from the calculation:
Total magnetization (μB/cell): 3.3
N(E_F) (states/eV per cell): 3.961

Cell lengths 4.4262, 4.4262, 5.3051 Å; angles 90.00, 90.00, 90.00 degrees
With the nearest neighbours (Å) after each atom.
Space group P4/mmm (No. 123)
Symmetry-distinct sites (fractional):
Rb: 0.0000 0.0000 0.0000  4 Te 3.13, 8 N 3.45
Te: 0.5000 0.5000 0.0000  2 P 2.65
P: 0.5000 0.5000 0.5000  4 N 2.21
N: 0.0000 0.5000 0.5000  2 P 2.21


Each structure's energy above the most stable one, in meV per atom: entry w 1091; entry x 0.


Entry w
# RePS2N

RePS2N after structural relaxation (PBE-GGA, Alexandria via LeMat-Bulk).

Values from the calculation:
Total magnetization (μB/cell): 1.9
N(E_F) (states/eV per cell): 3.320

Cell lengths 4.5685, 4.5685, 4.7959 Å; angles 90.00, 90.00, 90.00 degrees
With the nearest neighbours (Å) after each atom.
Space group P4/mmm (No. 123)
Symmetry-distinct sites (fractional):
Re: 0.0000 0.0000 0.0000  4 S 2.28, 2 P 2.40
P: 0.0000 0.0000 0.5000  2 Re 2.40
S: 0.0000 0.5000 0.0000  2 Re 2.28
N: 0.5000 0.5000 0.5000  4 P 3.23, 8 S 3.31


Entry x
# RePS2N

RePS2N after structural relaxation (PBE-GGA, Alexandria via LeMat-Bulk).

Values from the calculation:
Total magnetization (μB/cell): 1.2
N(E_F) (states/eV per cell): 3.826

Cell lengths 4.6133, 4.6133, 3.1461 Å; angles 90.00, 90.00, 90.00 degrees
With the nearest neighbours (Å) after each atom.
Space group P4/mmm (No. 123)
Symmetry-distinct sites (fractional):
Re: 0.0000 0.0000 0.0000  8 S 2.79
P: 0.5000 0.5000 0.5000  2 N 1.57
S: 0.0000 0.5000 0.5000  2 P 2.31
N: 0.5000 0.5000 0.0000  2 P 1.57


Entry y
# RePS2N

RePS2N after structural relaxation (PBE-GGA, Alexandria via LeMat-Bulk).

Values from the calculation:
Total magnetization (μB/cell): 0.0
N(E_F) (states/eV per cell): 3.288

Cell lengths 4.0423, 4.0423, 3.8486 Å; angles 90.00, 90.00, 90.00 degrees
With the nearest neighbours (Å) after each atom.
Space group P4/mmm (No. 123)
Symmetry-distinct sites (fractional):
Re: 0.0000 0.0000 0.0000  8 S 2.79, 4 P 2.86
P: 0.5000 0.5000 0.0000  2 N 1.92
S: 0.0000 0.5000 0.5000  2 N 2.02
N: 0.5000 0.5000 0.5000  2 P 1.92, 4 S 2.02


Each structure's energy above the most stable one, in meV per atom: entry w 388; entry x 0; entry y 224.


Entry w
# RePSe2N

RePSe2N after structural relaxation (PBE-GGA, Alexandria via LeMat-Bulk).

Values from the calculation:
Total magnetization (μB/cell): 0.0
N(E_F) (states/eV per cell): 3.506

Cell lengths 5.0060, 5.0060, 3.7210 Å; angles 90.00, 90.00, 90.00 degrees
With the nearest neighbours (Å) after each atom.
Space group P4/mmm (No. 123)
Symmetry-distinct sites (fractional):
Re: 0.0000 0.0000 0.0000  2 N 1.86
P: 0.5000 0.5000 0.5000  8 Se 3.12
Se: 0.0000 0.5000 0.0000  2 Re 2.50
N: 0.0000 0.0000 0.5000  2 Re 1.86


Entry x
# RePSe2N

RePSe2N after structural relaxation (PBE-GGA, Alexandria via LeMat-Bulk).

Values from the calculation:
Total magnetization (μB/cell): 1.1
N(E_F) (states/eV per cell): 4.217

Cell lengths 4.9061, 4.9061, 3.1842 Å; angles 90.00, 90.00, 90.00 degrees
With the nearest neighbours (Å) after each atom.
Space group P4/mmm (No. 123)
Symmetry-distinct sites (fractional):
Re: 0.0000 0.0000 0.0000  8 Se 2.92, 2 Re 3.18
P: 0.5000 0.5000 0.5000  2 N 1.59
Se: 0.0000 0.5000 0.5000  2 P 2.45
N: 0.5000 0.5000 0.0000  2 P 1.59


Each structure's energy above the most stable one, in meV per atom: entry w 0; entry x 403.


Entry w
# RePSeN2

RePSeN2 after structural relaxation (PBE-GGA, Alexandria via LeMat-Bulk).

Values from the calculation:
Total magnetization (μB/cell): 1.2
N(E_F) (states/eV per cell): 2.553

Cell lengths 3.8174, 3.8174, 5.5229 Å; angles 90.00, 90.00, 90.00 degrees
With the nearest neighbours (Å) after each atom.
Space group P4/mmm (No. 123)
Symmetry-distinct sites (fractional):
Re: 0.0000 0.0000 0.0000  4 N 1.91
P: 0.5000 0.5000 0.5000  4 Se 2.70
Se: 0.0000 0.0000 0.5000  4 P 2.70, 2 Re 2.76
N: 0.0000 0.5000 0.0000  2 Re 1.91


Entry x
# RePSeN2

RePSeN2 after structural relaxation (PBE-GGA, Alexandria via LeMat-Bulk).

Values from the calculation:
Total magnetization (μB/cell): 2.1
N(E_F) (states/eV per cell): 4.308

Cell lengths 3.4132, 3.4132, 6.8328 Å; angles 90.00, 90.00, 90.00 degrees
With the nearest neighbours (Å) after each atom.
Space group P4/mmm (No. 123)
Symmetry-distinct sites (fractional):
Re: 0.0000 0.0000 0.0000  4 Se 2.41
P: 0.5000 0.5000 0.5000  4 N 1.71
Se: 0.5000 0.5000 0.0000  4 Re 2.41
N: 0.0000 0.5000 0.5000  2 P 1.71


Each structure's energy above the most stable one, in meV per atom: entry w 0; entry x 687.


Entry w
# PRhS2N

PRhS2N after structural relaxation (PBE-GGA, Alexandria via LeMat-Bulk).

Values from the calculation:
Total magnetization (μB/cell): 0.0
N(E_F) (states/eV per cell): 1.822

Cell lengths 4.8084, 4.8084, 3.6216 Å; angles 90.00, 90.00, 90.00 degrees
With the nearest neighbours (Å) after each atom.
Space group P4/mmm (No. 123)
Symmetry-distinct sites (fractional):
P: 0.0000 0.0000 0.0000  8 S 3.01
Rh: 0.5000 0.5000 0.5000  2 N 1.81
S: 0.0000 0.5000 0.5000  2 Rh 2.40
N: 0.5000 0.5000 0.0000  2 Rh 1.81


Entry x
# PRhS2N

PRhS2N after structural relaxation (PBE-GGA, Alexandria via LeMat-Bulk).

Values from the calculation:
Total magnetization (μB/cell): 0.0
N(E_F) (states/eV per cell): 6.188

Cell lengths 4.6027, 4.6027, 4.5063 Å; angles 90.00, 90.00, 90.00 degrees
With the nearest neighbours (Å) after each atom.
Space group P4/mmm (No. 123)
Symmetry-distinct sites (fractional):
P: 0.0000 0.0000 0.0000  2 Rh 2.25
Rh: 0.0000 0.0000 0.5000  2 P 2.25, 4 S 2.30
S: 0.0000 0.5000 0.5000  2 Rh 2.30
N: 0.5000 0.5000 0.0000  8 S 3.22, 4 P 3.25


Each structure's energy above the most stable one, in meV per atom: entry w 0; entry x 910.


Entry w
# PRhS2N

PRhS2N after structural relaxation (PBE-GGA, Alexandria via LeMat-Bulk).

Values from the calculation:
Total magnetization (μB/cell): 0.0
N(E_F) (states/eV per cell): 3.264

Cell lengths 4.1288, 4.1288, 3.9048 Å; angles 90.00, 90.00, 90.00 degrees
With the nearest neighbours (Å) after each atom.
Space group P4/mmm (No. 123)
Symmetry-distinct sites (fractional):
P: 0.0000 0.0000 0.0000  2 N 1.95
Rh: 0.5000 0.5000 0.0000  8 S 2.84, 4 P 2.92
S: 0.0000 0.5000 0.5000  2 N 2.06
N: 0.0000 0.0000 0.5000  2 P 1.95, 4 S 2.06


Entry x
# PRhS2N

PRhS2N after structural relaxation (PBE-GGA, Alexandria via LeMat-Bulk).

Values from the calculation:
Total magnetization (μB/cell): 0.0
N(E_F) (states/eV per cell): 3.819

Cell lengths 4.6359, 4.6359, 3.1511 Å; angles 90.00, 90.00, 90.00 degrees
With the nearest neighbours (Å) after each atom.
Space group P4/mmm (No. 123)
Symmetry-distinct sites (fractional):
P: 0.0000 0.0000 0.0000  2 N 1.58
Rh: 0.5000 0.5000 0.5000  8 S 2.80
S: 0.0000 0.5000 0.0000  2 P 2.32
N: 0.0000 0.0000 0.5000  2 P 1.58


Each structure's energy above the most stable one, in meV per atom: entry w 394; entry x 0.